First-principles (GGA+U) data for TiNb2VO6 after structural relaxation, as listed in Alexandria.

Cell lengths 5.221, 5.314, 5.689 Å; angles 66.05, 60.49, 58.40 degrees
Fractional coordinates of all 10 atoms:
Ti (0.276, 0.299, 0.050)
Nb (0.552, 0.489, 0.438)
Nb (0.020, 0.043, 0.979)
V (0.818, 0.826, 0.550)
O (0.555, 0.213, 0.269)
O (0.283, 0.868, 0.244)
O (0.922, 0.624, 0.247)
O (0.402, 0.731, 0.749)
O (0.725, 0.141, 0.747)
O (0.110, 0.428, 0.742)

## Properties
V   115 Å³ per cell
Uncorrected energy   -0.3235 Ha/atom
SG   P1
Density of states at the Fermi level   2.175 states/eV per cell